8
Lattice="4.098 0.000 0.000 0.000 4.098 0.000 0.000 0.000 7.300" Properties=species:S:1:pos:R:3 comment="TiInNiIr, optimized geometry, DFT PBE" e_form_ev_per_atom=-0.42 magmom_total_mub_per_cell=0.0 dos_ef_per_ev_cell=4.87 final_energy_ev_per_cell=-53.9 pbc="T T T"
Ti 0.000 0.000 0.000
Ti 2.049 2.049 3.650
In 0.000 0.000 3.650
In 2.049 2.049 0.000
Ni 0.000 2.049 1.825
Ni 2.049 0.000 5.475
Ir 0.000 2.049 5.475
Ir 2.049 0.000 1.825

***

16
Lattice="6.637 0.000 0.000 0.000 6.637 0.000 0.000 0.000 6.637" Properties=species:S:1:pos:R:3 comment="UInNiIr, optimized geometry, DFT PBE" e_form_ev_per_atom=-0.21 magmom_total_mub_per_cell=5.9 dos_ef_per_ev_cell=25.26 final_energy_ev_per_cell=-118.1 pbc="T T T"
U 0.000 0.000 0.000
U 0.000 3.319 3.319
U 3.319 0.000 3.319
U 3.319 3.319 0.000
In 0.000 0.000 3.319
In 0.000 3.319 0.000
In 3.319 0.000 0.000
In 3.319 3.319 3.319
Ni 1.659 1.659 4.978
Ni 1.659 4.978 1.659
Ni 4.978 1.659 1.659
Ni 4.978 4.978 4.978
Ir 1.659 1.659 1.659
Ir 1.659 4.978 4.978
Ir 4.978 1.659 4.978
Ir 4.978 4.978 1.659

***

16
Lattice="6.221 0.000 0.000 0.000 6.221 0.000 0.000 0.000 6.221" Properties=species:S:1:pos:R:3 comment="ZnInNiIr, optimized geometry, DFT PBE" e_form_ev_per_atom=-0.10 magmom_total_mub_per_cell=0.0 dos_ef_per_ev_cell=12.22 final_energy_ev_per_cell=-76.2 pbc="T T T"
Zn 0.000 0.000 0.000
Zn 0.000 3.111 3.111
Zn 3.111 0.000 3.111
Zn 3.111 3.111 0.000
In 0.000 0.000 3.111
In 0.000 3.111 0.000
In 3.111 0.000 0.000
In 3.111 3.111 3.111
Ni 1.555 1.555 1.555
Ni 1.555 4.666 4.666
Ni 4.666 1.555 4.666
Ni 4.666 4.666 1.555
Ir 1.555 1.555 4.666
Ir 1.555 4.666 1.555
Ir 4.666 1.555 1.555
Ir 4.666 4.666 4.666

***

11
Lattice="4.669 0.000 0.000 0.000 4.669 0.000 0.000 0.000 12.138" Properties=species:S:1:pos:R:3 comment="Np2In8Ir, optimized geometry, DFT PBE" e_form_ev_per_atom=-0.09 magmom_total_mub_per_cell=8.7 dos_ef_per_ev_cell=24.17 final_energy_ev_per_cell=-57.6 pbc="T T T"
Np 0.000 0.000 2.332
Np 0.000 0.000 9.806
In 0.000 2.334 0.000
In 0.000 2.334 4.563
In 0.000 2.334 7.575
In 2.334 0.000 0.000
In 2.334 0.000 4.563
In 2.334 0.000 7.575
In 2.334 2.334 2.317
In 2.334 2.334 9.821
Ir 0.000 0.000 6.069

***

18
Lattice="5.429 0.000 0.000 -2.715 4.702 0.000 0.000 0.000 8.864" Properties=species:S:1:pos:R:3 comment="NpInIrO6, optimized geometry, DFT PBE" e_form_raw_ev_per_atom=-1.67 magmom_total_mub_per_cell=2.0 final_energy_ev_per_cell=-138.6 pbc="T T T"
Np 0.000 3.135 2.216
Np 2.715 1.567 6.648
In 0.000 3.135 6.648
In 2.715 1.567 2.216
Ir 0.000 0.000 0.000
Ir 0.000 0.000 4.432
O -0.807 1.541 1.088
O -1.784 3.233 3.343
O 0.807 1.541 3.343
O -0.977 4.630 1.088
O 1.738 0.071 5.520
O 0.931 1.469 7.775
O 1.784 3.233 1.088
O 0.977 4.630 3.343
O 3.691 0.071 7.775
O 1.908 3.161 5.520
O 4.499 1.469 5.520
O 3.522 3.161 7.775

***

16
Lattice="6.690 0.000 0.000 0.000 6.690 0.000 0.000 0.000 6.690" Properties=species:S:1:pos:R:3 comment="NpInIrRh, optimized geometry, DFT PBE" e_form_ev_per_atom=-0.31 magmom_total_mub_per_cell=12.5 dos_ef_per_ev_cell=29.69 final_energy_ev_per_cell=-132.5 pbc="T T T"
Np 0.000 0.000 0.000
Np 0.000 3.345 3.345
Np 3.345 0.000 3.345
Np 3.345 3.345 0.000
In 0.000 0.000 3.345
In 0.000 3.345 0.000
In 3.345 0.000 0.000
In 3.345 3.345 3.345
Ir 1.672 1.672 1.672
Ir 1.672 5.017 5.017
Ir 5.017 1.672 5.017
Ir 5.017 5.017 1.672
Rh 1.672 1.672 5.017
Rh 1.672 5.017 1.672
Rh 5.017 1.672 1.672
Rh 5.017 5.017 5.017